[1]
Below is an optimized crystal structure of ZnPOsO, with properties calculated at the PBE-GGA level.

Results
**Energy**: -6.126 eV/atom
**Crystal system**: orthorhombic
**Magnetization**: 0.000 μB per atom

Cell: 3.1062 6.3222 5.6487 Å, 90.00 90.00 90.00°
Closest atoms and distances in Å follow each position.
Space group Pmc2_1 (No. 26)
One atom of each set of equivalent atoms:
Zn (0.0000, 0.0620, 0.0000) (multiplicity 2)  2 O 1.96
P (0.0000, 0.3063, 0.4985) (multiplicity 2)  1 Zn 2.33, 4 Os 2.37-2.49
Os (0.5000, 0.4935, 0.7362) (multiplicity 2)  2 O 2.10-2.13
O (0.5000, 0.2508, 0.9913) (multiplicity 2)  2 Zn 1.96, 2 Os 2.10-2.13

[2]
Below is an optimized crystal structure of RbHgMo, with properties calculated at the PBE-GGA level.

Results
**Energy**: -2.624 eV/atom
**Crystal system**: cubic
**Magnetization**: 1.569 μB per atom

Cell: 7.6291 7.6291 7.6291 Å, 90.00 90.00 90.00°
Closest atoms and distances in Å follow each position.
Space group F-43m (No. 216)
One atom of each set of equivalent atoms:
Rb (0.0000, 0.0000, 0.0000) (multiplicity 4)  4 Hg 3.30
Hg (0.2500, 0.2500, 0.7500) (multiplicity 4)  4 Mo 3.30, 4 Rb 3.30
Mo (0.0000, 0.0000, 0.5000) (multiplicity 4)  4 Hg 3.30

[3]
Below is an optimized crystal structure of DyGeTeAuS2, with properties calculated at the PBE-GGA level.

Results
**Energy**: -4.682 eV/atom
**Crystal system**: orthorhombic
**Magnetization**: 0.000 μB per atom

Cell: 3.9973 13.4671 11.3256 Å, 90.00 90.00 90.00°
Closest atoms and distances in Å follow each position.
Space group Cmcm (No. 63)
One atom of each set of equivalent atoms:
Dy (0.0000, 0.0000, 0.0000) (multiplicity 4)  4 S 2.73
Ge (0.0000, 0.2404, 0.2500) (multiplicity 4)  2 Te 2.83, 2 Au 2.98
Te (0.0000, 0.1110, 0.7500) (multiplicity 4)  2 Ge 2.83
Au (0.0000, 0.4240, 0.7500) (multiplicity 4)  2 S 2.37
S (0.0000, 0.3687, 0.5510) (multiplicity 8)  1 Au 2.37

[4]
Below is an optimized crystal structure of YHfAu, with properties calculated at the PBE-GGA level.

Results
**Crystal system**: cubic
**Magnetization**: 0.002 μB per atom
**Formation energy**: -0.097 eV per atom

Cell: 6.7658 6.7658 6.7658 Å, 90.00 90.00 90.00°
Closest atoms and distances in Å follow each position.
Space group F-43m (No. 216)
One atom of each set of equivalent atoms:
Y (0.0000, 0.0000, 0.0000) (multiplicity 4)  4 Au 2.93
Hf (0.0000, 0.0000, 0.5000) (multiplicity 4)  4 Au 2.93
Au (0.2500, 0.2500, 0.7500) (multiplicity 4)  4 Hf 2.93, 4 Y 2.93

[5]
Below is an optimized crystal structure of Re2PbO4, with properties calculated at the PBE-GGA level.

Results
**Energy**: -7.532 eV/atom
**Crystal system**: cubic
**Magnetization**: 0.571 μB per atom

Cell: 9.2429 9.2429 9.2429 Å, 90.00 90.00 90.00°
Closest atoms and distances in Å follow each position.
Space group Fd-3m (No. 227, origin choice 2)
One atom of each set of equivalent atoms:
Re (0.0000, 0.0000, 0.0000) (multiplicity 16)  6 O 2.10
Pb (0.1250, 0.1250, 0.6250) (multiplicity 8)  4 O 2.41
O (0.0257, 0.0257, 0.2243) (multiplicity 32)  3 Re 2.10

[6]
Below is an optimized crystal structure of BeReGeSb, with properties calculated at the PBE-GGA level.

Results
**Energy**: -5.351 eV/atom
**Crystal system**: cubic
**Magnetization**: 0.016 μB per atom

Cell: 6.3649 6.3649 6.3649 Å, 90.00 90.00 90.00°
Closest atoms and distances in Å follow each position.
Space group F-43m (No. 216)
One atom of each set of equivalent atoms:
Be (0.0000, 0.0000, 0.0000) (multiplicity 4)  4 Re 2.76, 4 Sb 2.76
Re (0.2500, 0.2500, 0.2500) (multiplicity 4)  4 Ge 2.76, 4 Be 2.76
Ge (0.0000, 0.0000, 0.5000) (multiplicity 4)  4 Sb 2.76, 4 Re 2.76
Sb (0.2500, 0.2500, 0.7500) (multiplicity 4)  4 Ge 2.76, 4 Be 2.76

[7]
Below is an optimized crystal structure of DyOs2O4, with properties calculated at the PBE-GGA level.

Results
**Energy**: -7.695 eV/atom
**Crystal system**: cubic
**Magnetization**: 0.143 μB per atom

Cell: 8.9701 8.9701 8.9701 Å, 90.00 90.00 90.00°
Closest atoms and distances in Å follow each position.
Space group Fd-3m (No. 227, origin choice 2)
One atom of each set of equivalent atoms:
Dy (0.1250, 0.1250, 0.1250) (multiplicity 8)  4 O 2.19
Os (0.0000, 0.0000, 0.5000) (multiplicity 16)  6 O 2.11
O (0.0161, 0.0161, 0.7339) (multiplicity 32)  3 Os 2.11, 1 Dy 2.19

[8]
Below is an optimized crystal structure of PuZr, with properties calculated at the PBE-GGA level.

Results
**Crystal system**: monoclinic
**Magnetization**: 2.739 μB per atom
**Formation energy**: 0.064 eV per atom

Cell: 6.5068 5.2857 17.1374 Å, 90.00 90.10 90.00°
Closest atoms and distances in Å follow each position.
Space group Pm (No. 6)
One atom of each set of equivalent atoms:
Pu (0.0000, 0.0000, 0.0000) (multiplicity 1)  5 Zr 3.22-3.45, 7 Pu 3.24-3.35
Pu (0.0001, 0.5000, 0.4359) (multiplicity 1)  5 Zr 3.22-3.45, 7 Pu 3.23-3.35
Pu (0.2383, 0.5000, 0.9358) (multiplicity 1)  5 Zr 3.21-3.45, 7 Pu 3.23-3.35
Pu (0.2391, 0.0000, 0.5001) (multiplicity 1)  5 Zr 3.22-3.45, 7 Pu 3.24-3.35
Pu (0.4834, 0.0000, 0.3281) (multiplicity 1)  8 Zr 3.22-3.28, 4 Pu 3.25-3.35
Pu (0.4839, 0.5000, 0.1075) (multiplicity 1)  8 Zr 3.23-3.28, 4 Pu 3.25-3.36
Pu (0.4965, 0.5000, 0.4381) (multiplicity 1)  9 Pu 3.23-3.35, 3 Zr 3.27-3.40
Pu (0.4973, 0.0000, 0.9974) (multiplicity 1)  9 Pu 3.24-3.36, 3 Zr 3.27-3.39
Pu (0.7410, 0.0000, 0.4977) (multiplicity 1)  9 Pu 3.24-3.35, 3 Zr 3.27-3.40
Pu (0.7418, 0.5000, 0.9381) (multiplicity 1)  9 Pu 3.23-3.36, 3 Zr 3.26-3.40
Pu (0.7548, 0.5000, 0.6076) (multiplicity 1)  8 Zr 3.23-3.28, 4 Pu 3.25-3.35
Pu (0.7557, 0.0000, 0.8280) (multiplicity 1)  8 Zr 3.22-3.28, 4 Pu 3.25-3.36
Zr (0.0022, 0.0000, 0.6649) (multiplicity 1)  7 Zr 3.15-3.29, 5 Pu 3.22-3.33
Zr (0.0022, 0.5000, 0.7709) (multiplicity 1)  7 Zr 3.15-3.29, 5 Pu 3.21-3.33
Zr (0.2367, 0.0000, 0.1648) (multiplicity 1)  7 Zr 3.16-3.29, 5 Pu 3.22-3.33
Zr (0.2367, 0.5000, 0.2709) (multiplicity 1)  7 Zr 3.15-3.29, 5 Pu 3.22-3.32
Zr (0.2517, 0.0000, 0.8227) (multiplicity 1)  6 Zr 3.15-3.23, 6 Pu 3.23-3.45
Zr (0.2519, 0.5000, 0.6133) (multiplicity 1)  6 Zr 3.15-3.23, 6 Pu 3.24-3.45
Zr (0.4969, 0.0000, 0.6642) (multiplicity 1)  7 Zr 3.15-3.29, 5 Pu 3.27-3.28
Zr (0.4966, 0.5000, 0.7718) (multiplicity 1)  7 Zr 3.15-3.29, 5 Pu 3.26-3.28
Zr (0.7420, 0.0000, 0.1641) (multiplicity 1)  7 Zr 3.15-3.29, 5 Pu 3.27-3.28
Zr (0.7419, 0.5000, 0.2718) (multiplicity 1)  7 Zr 3.16-3.29, 5 Pu 3.27-3.28
Zr (0.9871, 0.0000, 0.3227) (multiplicity 1)  6 Zr 3.15-3.23, 6 Pu 3.23-3.45
Zr (0.9871, 0.5000, 0.1131) (multiplicity 1)  6 Zr 3.15-3.23, 6 Pu 3.23-3.45

[9]
Below is an optimized crystal structure of YHo2Co2B2As3, with properties calculated at the PBE-GGA level.

Results
**Energy**: -6.477 eV/atom
**Crystal system**: tetragonal
**Magnetization**: 0.000 μB per atom

Cell: 3.9169 3.9169 22.6901 Å, 90.00 90.00 90.00°
Closest atoms and distances in Å follow each position.
Space group I4/mmm (No. 139)
One atom of each set of equivalent atoms:
Y (0.0000, 0.0000, 0.0000) (multiplicity 2)  6 As 2.77-2.84
Ho (0.0000, 0.0000, 0.3560) (multiplicity 4)  4 As 2.80, 4 Co 3.10, 1 B 3.12
Co (0.0000, 0.5000, 0.2500) (multiplicity 4)  4 B 2.08
B (0.0000, 0.0000, 0.2186) (multiplicity 4)  4 Co 2.08, 1 As 2.12
As (0.0000, 0.0000, 0.1250) (multiplicity 4)  1 B 2.12
As (0.0000, 0.0000, 0.5000) (multiplicity 2)  4 Y 2.77

[10]
Below is an optimized crystal structure of GdCo12B6, with properties calculated at the PBE-GGA level.

Results
**Energy**: -7.172 eV/atom
**Crystal system**: trigonal
**Magnetization**: 0.002 μB per atom

Cell: 9.3947 9.3947 7.4110 Å, 90.00 90.00 120.00°
Closest atoms and distances in Å follow each position.
Space group R-3m (No. 166, hexagonal axes)
One atom of each set of equivalent atoms:
Gd (0.0000, 0.0000, 0.0000) (multiplicity 3)  6 B 3.03, 18 Co 3.08-3.23
Co (0.0000, 0.3676, 0.5000) (multiplicity 18)  4 B 2.02-2.04
Co (0.0899, 0.1799, 0.3663) (multiplicity 18)  3 B 2.10-2.11
B (0.0369, 0.5184, 0.2861) (multiplicity 18)  7 Co 2.02-2.11

Question: Which formula does entry 6 have?
Answer: BeReGeSb

Question: Which formula does entry 8 have?
Answer: PuZr

Question: Which value of magnetization does entry 3 give?
Answer: 0.000 μB per atom

Question: Which of these has the highest magnetization?
Answer: PuZr